GGA+U TaMo2O6, optimized geometry; SG = P4_2/mnm, No. 136; DOS(E_F) = 1.2 states/eV per cell; E = -8.35 eV/atom; M_tot = 5.000 μB per formula unit
1.0
4.8100 0.0000 0.0000
0.0000 4.8100 0.0000
0.0000 0.0000 9.5926
Ta Mo O
2 4 12
direct
0.0000 0.0000 0.0000 Ta
0.5000 0.5000 0.5000 Ta
0.0000 0.0000 0.3333 Mo
0.0000 0.0000 0.6667 Mo
0.5000 0.5000 0.1667 Mo
0.5000 0.5000 0.8333 Mo
0.1934 0.1934 0.1584 O
0.1934 0.1934 0.8416 O
0.2034 0.2034 0.5000 O
0.2966 0.7034 0.0000 O
0.3066 0.6934 0.3416 O
0.3066 0.6934 0.6584 O
0.6934 0.3066 0.3416 O
0.6934 0.3066 0.6584 O
0.7034 0.2966 0.0000 O
0.7966 0.7966 0.5000 O
0.8066 0.8066 0.1584 O
0.8066 0.8066 0.8416 O